{
  "formula": "Cd2AsCl",
  "functional": "PBE-GGA",
  "state": "optimized geometry",
  "formation_energy_uncorrected_mev_per_atom": -133,
  "space_group": "Cmmm",
  "total_magnetization_mub_per_cell": 0.00,
  "de_polymorph_mev_per_atom": 319,
  "dft_energy_ha_per_atom": -0.081,
  "lattice_angstrom": [[-0.152, -3.654, -0.104], [1.528, 1.297, -3.061], [6.934, -0.382, 3.300]],
  "species": ["Cd", "Cd", "Cl", "As"],
  "frac_coords": [[0.000, 0.000, 0.982], [0.000, 0.000, 0.518], [0.500, 0.500, 0.250], [0.500, 0.500, 0.750]]
}

***

{
  "formula": "CdAs2Cl",
  "functional": "PBE-GGA",
  "state": "optimized geometry",
  "formation_energy_uncorrected_mev_per_atom": -165,
  "space_group": "Imm2",
  "total_magnetization_mub_per_cell": 0.00,
  "de_polymorph_mev_per_atom": 108,
  "dft_energy_ha_per_atom": -0.117,
  "lattice_angstrom": [[-6.122, 5.502, 1.700], [-6.857, 1.300, 4.682], [7.982, -2.214, -1.421]],
  "species": ["As", "As", "Cd", "Cl"],
  "frac_coords": [[0.048, 0.048, 0.000], [0.151, 0.651, 0.500], [0.455, 0.455, 0.000], [0.846, 0.346, 0.500]]
}

***

{
  "formula": "Cd3AsCl3",
  "functional": "PBE-GGA",
  "state": "optimized geometry",
  "formation_energy_uncorrected_mev_per_atom": -749,
  "space_group": "Pnma",
  "total_magnetization_mub_per_cell": 0.00,
  "dft_energy_ha_per_atom": -0.095,
  "lattice_angstrom": [[7.212, 0.000, 0.001], [0.000, 8.250, 0.000], [0.000, 0.000, 13.419]],
  "species": ["Cd", "Cd", "Cd", "Cd", "Cd", "Cd", "Cd", "Cd", "Cd", "Cd", "Cd", "Cd", "As", "As", "As", "As", "Cl", "Cl", "Cl", "Cl", "Cl", "Cl", "Cl", "Cl", "Cl", "Cl", "Cl", "Cl"],
  "frac_coords": [[0.001, 0.750, 0.588], [0.500, 0.500, 0.500], [0.488, 0.750, 0.763], [0.501, 0.250, 0.913], [0.999, 0.250, 0.412], [0.500, 0.000, 0.500], [0.512, 0.250, 0.237], [0.499, 0.750, 0.087], [0.988, 0.250, 0.737], [0.000, 0.500, 0.000], [0.000, 0.000, 0.000], [0.012, 0.750, 0.263], [0.143, 0.750, 0.084], [0.357, 0.750, 0.584], [0.643, 0.250, 0.416], [0.857, 0.250, 0.916], [0.808, 0.750, 0.418], [0.308, 0.250, 0.082], [0.304, 0.479, 0.834], [0.304, 0.021, 0.834], [0.196, 0.021, 0.334], [0.804, 0.521, 0.666], [0.692, 0.750, 0.918], [0.196, 0.479, 0.334], [0.696, 0.979, 0.166], [0.804, 0.979, 0.666], [0.696, 0.521, 0.166], [0.192, 0.250, 0.582]]
}

***

{
  "formula": "CdAs2Cl",
  "functional": "PBE-GGA",
  "state": "optimized geometry",
  "formation_energy_uncorrected_mev_per_atom": -20,
  "space_group": "Pm",
  "total_magnetization_mub_per_cell": 0.00,
  "de_polymorph_mev_per_atom": 253,
  "dft_energy_ha_per_atom": -0.112,
  "lattice_angstrom": [[5.517, 0.000, 0.000], [0.000, 3.122, 0.026], [0.000, 3.023, 5.165]],
  "species": ["Cl", "Cd", "As", "As"],
  "frac_coords": [[0.500, 0.821, 0.624], [0.000, 0.277, 0.624], [0.500, 0.233, 0.126], [0.000, 0.169, 0.126]]
}

***

{
  "formula": "Cd2AsCl",
  "functional": "PBE-GGA",
  "state": "optimized geometry",
  "formation_energy_uncorrected_mev_per_atom": -319,
  "space_group": "Cm",
  "total_magnetization_mub_per_cell": 0.00,
  "de_polymorph_mev_per_atom": 133,
  "dft_energy_ha_per_atom": -0.088,
  "lattice_angstrom": [[0.069, 4.241, -6.802], [2.803, 1.464, -7.366], [-2.876, -2.634, -0.971]],
  "species": ["Cl", "Cd", "Cd", "As"],
  "frac_coords": [[0.534, 0.534, 0.271], [0.264, 0.264, 0.335], [0.933, 0.933, 0.059], [0.769, 0.769, 0.835]]
}

***

{
  "formula": "Cd2AsCl",
  "functional": "PBE-GGA",
  "state": "optimized geometry",
  "formation_energy_uncorrected_mev_per_atom": -376,
  "space_group": "Amm2",
  "total_magnetization_mub_per_cell": 0.00,
  "de_polymorph_mev_per_atom": 76,
  "dft_energy_ha_per_atom": -0.090,
  "lattice_angstrom": [[5.485, 0.000, 0.000], [0.000, 4.701, 0.320], [0.000, 2.073, 4.226]],
  "species": ["Cd", "Cd", "Cl", "As"],
  "frac_coords": [[0.000, 0.874, 0.876], [0.500, 0.209, 0.207], [0.000, 0.541, 0.543], [0.500, 0.876, 0.875]]
}